# 1
DFT (PBE-GGA) results for a relaxed BaAc2NdSe4 crystal.

Properties
Energy ... -5.472 eV/atom
Magnetic moment ... 0.00 μB per atom
Symmetry ... P2/m, No. 10
E_form (uncorrected) ... -1.87 eV/atom

a = 4.440 Å, b = 7.706 Å, c = 7.761 Å
α = 70.84°, β = 90.00°, γ = 90.00°
Fractional positions:
1 Ba 0.500 0.500 0.000
2 Ac 0.000 0.000 0.000
3 Ac 0.500 0.000 0.500
4 Nd 0.000 0.500 0.500
5 Se 0.000 0.753 0.737
6 Se 0.000 0.247 0.263
7 Se 0.500 0.744 0.263
8 Se 0.500 0.256 0.737


# 2
DFT (PBE-GGA) results for a relaxed TbErZr2 crystal.

Properties
Formation enthalpy at 0 K ... 0.281 eV/atom
Energy ... -6.291 eV/atom
Magnetic moment ... 0.00 μB per atom
Symmetry ... R-3m, No. 166

a = 3.267 Å, b = 3.267 Å, c = 11.802 Å
α = 82.04°, β = 82.04°, γ = 60.00°
Fractional positions:
1 Tb 0.000 0.000 0.000
2 Zr 0.090 0.090 0.730
3 Zr 0.910 0.910 0.270
4 Er 0.500 0.500 0.500